1.
# Cs2TaSiB PBE-GGA relaxed
# Formation energy without anion corrections ... 7.191 eV/f.u.
data_Cs2TaSiB
_chemical_formula_sum 'Cs2 Ta1 Si1 B1'
_symmetry_space_group_name_H-M 'P 1'
_symmetry_Int_Tables_number 1
_symmetry_space_group_name_Hall 'P 1'
_cell_length_a 7.252
_cell_length_b 7.252
_cell_length_c 3.621
_cell_angle_alpha 90.00
_cell_angle_beta 90.00
_cell_angle_gamma 90.00
loop_
_atom_site_label
_atom_site_type_symbol
_atom_site_fract_x
_atom_site_fract_y
_atom_site_fract_z
Cs1 Cs 0.000 0.500 0.000
Cs2 Cs 0.500 0.000 0.000
Ta1 Ta 0.000 0.000 0.500
Si1 Si 0.500 0.500 0.000
B1 B 0.500 0.500 0.500

2.
# Hf8Al2Ga3 PBE-GGA relaxed
# Formation energy from the elements ... 0.010 eV per atom
data_Hf8Al2Ga3
_chemical_formula_sum 'Hf8 Al2 Ga3'
_symmetry_space_group_name_H-M 'P 1'
_symmetry_Int_Tables_number 1
_symmetry_space_group_name_Hall 'P 1'
_cell_length_a 8.126
_cell_length_b 8.126
_cell_length_c 4.966
_cell_angle_alpha 90.00
_cell_angle_beta 90.00
_cell_angle_gamma 124.36
loop_
_atom_site_label
_atom_site_type_symbol
_atom_site_fract_x
_atom_site_fract_y
_atom_site_fract_z
Hf1 Hf 0.105 0.895 0.000
Hf2 Hf 0.191 0.417 0.500
Hf3 Hf 0.312 0.688 0.000
Hf4 Hf 0.417 0.191 0.500
Hf5 Hf 0.583 0.809 0.500
Hf6 Hf 0.688 0.312 0.000
Hf7 Hf 0.809 0.583 0.500
Hf8 Hf 0.895 0.105 0.000
Al1 Al 0.218 0.782 0.500
Al2 Al 0.782 0.218 0.500
Ga1 Ga 0.000 0.000 0.500
Ga2 Ga 0.328 0.328 0.000
Ga3 Ga 0.672 0.672 0.000

3.
# ScGaPCl2 PBE-GGA relaxed
# Formation energy without anion corrections ... -1.479 eV/f.u.
# Relative energy among the computed polymorphs ... 0.508 eV/atom
data_ScGaPCl2
_chemical_formula_sum 'Sc1 Ga1 P1 Cl2'
_symmetry_space_group_name_H-M 'P 1'
_symmetry_Int_Tables_number 1
_symmetry_space_group_name_Hall 'P 1'
_cell_length_a 4.749
_cell_length_b 4.749
_cell_length_c 4.955
_cell_angle_alpha 90.00
_cell_angle_beta 90.00
_cell_angle_gamma 90.00
loop_
_atom_site_label
_atom_site_type_symbol
_atom_site_fract_x
_atom_site_fract_y
_atom_site_fract_z
Sc1 Sc 0.000 0.000 0.000
Ga1 Ga 0.500 0.500 0.500
P1 P 0.500 0.500 0.000
Cl1 Cl 0.000 0.500 0.500
Cl2 Cl 0.500 0.000 0.500